The following is a DFT calculation (PBE-GGA) of a relaxed K3RbZn2H8 crystal.

a = 5.7736 Å, b = 5.7736 Å, c = 9.1239 Å
α = 90.00°, β = 90.00°, γ = 120.00°
Space group P-3m1 (No. 164)
Symmetry-distinct sites (fractional):
K: 0.0000 0.0000 0.0000
K: 0.3333 0.6667 0.7615
Rb: 0.0000 0.0000 0.5000
Zn: 0.3333 0.6667 0.2141
H: 0.1763 0.3525 0.2708
H: 0.3333 0.6667 0.0343

Values from the calculation:
Its volume is 263.4 Å³ per cell. The value obtained for the total energy is -36.57 eV/cell.